Record 1
The following is a GGA-PBEsol calculation of a relaxed YCo3 crystal, from Alexandria via LeMat-Bulk.

Geometry as CIF:
```
data_YCo3
_cell_length_a 4.8874
_cell_length_b 4.8874
_cell_length_c 15.9782
_cell_angle_alpha 90.00
_cell_angle_beta 90.00
_cell_angle_gamma 120.00
_symmetry_space_group_name_H-M 'P 1'
_symmetry_Int_Tables_number 1
_symmetry_space_group_name_Hall 'P 1'
loop_
_atom_site_label
_atom_site_type_symbol
_atom_site_fract_x
_atom_site_fract_y
_atom_site_fract_z
Y1 Y 0.3333 0.6667 0.0402
Y2 Y 0.3333 0.6667 0.2500
Y3 Y 0.3333 0.6667 0.4598
Y4 Y 0.6667 0.3333 0.5402
Y5 Y 0.6667 0.3333 0.7500
Y6 Y 0.6667 0.3333 0.9598
Co1 Co 0.0000 0.0000 0.0000
Co2 Co 0.0000 0.0000 0.2500
Co3 Co 0.0000 0.0000 0.5000
Co4 Co 0.0000 0.0000 0.7500
Co5 Co 0.1662 0.3325 0.6285
Co6 Co 0.1662 0.3325 0.8715
Co7 Co 0.1662 0.8338 0.6285
Co8 Co 0.1662 0.8338 0.8715
Co9 Co 0.3325 0.1662 0.1285
Co10 Co 0.3325 0.1662 0.3715
Co11 Co 0.3333 0.6667 0.7500
Co12 Co 0.6667 0.3333 0.2500
Co13 Co 0.6675 0.8338 0.6285
Co14 Co 0.6675 0.8338 0.8715
Co15 Co 0.8338 0.1662 0.1285
Co16 Co 0.8338 0.1662 0.3715
Co17 Co 0.8338 0.6675 0.1285
Co18 Co 0.8338 0.6675 0.3715
```

Computed properties:
N(E_F)	5.924	states/eV/f.u.
energy relative to the elements	-0.1625	eV/atom
magnetic moment	19.62	μB per cell

=====

Record 2
The following is a GGA-PBEsol calculation of a relaxed YCo2 crystal, from Alexandria via LeMat-Bulk.

Geometry as CIF:
```
data_YCo2
_cell_length_a 4.9800
_cell_length_b 4.9800
_cell_length_c 4.9800
_cell_angle_alpha 60.00
_cell_angle_beta 60.00
_cell_angle_gamma 60.00
_symmetry_space_group_name_H-M 'P 1'
_symmetry_Int_Tables_number 1
_symmetry_space_group_name_Hall 'P 1'
loop_
_atom_site_label
_atom_site_type_symbol
_atom_site_fract_x
_atom_site_fract_y
_atom_site_fract_z
Y1 Y 0.1250 0.1250 0.1250
Y2 Y 0.8750 0.8750 0.8750
Co1 Co 0.0000 0.5000 0.5000
Co2 Co 0.5000 0.0000 0.5000
Co3 Co 0.5000 0.5000 0.0000
Co4 Co 0.5000 0.5000 0.5000
```

Computed properties:
N(E_F)	4.461	states/eV/f.u.
energy relative to the elements	-0.1924	eV/atom
magnetic moment	3.34	μB per cell

=====

> Which of these has the lowest N(E_F)?

YCo2